<P>
Computed, not measured: an optimized crystal structure of NaCo3H at the GGA-PBE level of DFT.

Computed properties:
Symmetry: Pm-3m (221)
Magnetic moment in μB/cell: 5.04

abc: 4.5065 4.5065 4.5065
angles: 90.00 90.00 90.00
Closest atoms and distances in Å follow each position.
Element x y z (fractional)
Na 0.0000 0.0000 0.0000  6 Co 2.25
Co 0.0000 0.5000 0.0000  2 Na 2.25
Co 0.0000 0.0000 0.5000  2 Na 2.25
Co 0.5000 0.0000 0.0000  2 Na 2.25
H 0.5000 0.5000 0.5000  12 Co 3.19



<Q>
Computed, not measured: an optimized crystal structure of NaCo3H at the GGA-PBE level of DFT.

Computed properties:
Symmetry: Pm-3m (221)
Magnetic moment in μB/cell: 4.51

abc: 3.7677 3.7677 3.7677
angles: 90.00 90.00 90.00
Closest atoms and distances in Å follow each position.
Element x y z (fractional)
Na 0.5000 0.5000 0.5000  12 Co 2.66
Co 0.0000 0.5000 0.0000  2 H 1.88
Co 0.0000 0.0000 0.5000  2 H 1.88
Co 0.5000 0.0000 0.0000  2 H 1.88
H 0.0000 0.0000 0.0000  6 Co 1.88



Which of them is the least stable? Correct choice: <P>.



<P>
Computed, not measured: an optimized crystal structure of NbCo3H at the GGA-PBE level of DFT.

Computed properties:
Symmetry: Pm-3m (221)
Magnetic moment in μB/cell: 0.85

abc: 3.6845 3.6845 3.6845
angles: 90.00 90.00 90.00
Closest atoms and distances in Å follow each position.
Element x y z (fractional)
H 0.0000 0.0000 0.0000  6 Co 1.84
Nb 0.5000 0.5000 0.5000  12 Co 2.61
Co 0.0000 0.5000 0.0000  2 H 1.84
Co 0.0000 0.0000 0.5000  2 H 1.84
Co 0.5000 0.0000 0.0000  2 H 1.84



<Q>
Computed, not measured: an optimized crystal structure of NbCo3H at the GGA-PBE level of DFT.

Computed properties:
Symmetry: Pm-3m (221)
Magnetic moment in μB/cell: 1.40

abc: 4.5011 4.5011 4.5011
angles: 90.00 90.00 90.00
Closest atoms and distances in Å follow each position.
Element x y z (fractional)
H 0.5000 0.5000 0.5000  12 Co 3.18
Nb 0.0000 0.0000 0.0000  6 Co 2.25
Co 0.0000 0.5000 0.0000  2 Nb 2.25
Co 0.0000 0.0000 0.5000  2 Nb 2.25
Co 0.5000 0.0000 0.0000  2 Nb 2.25



<R>
Computed, not measured: an optimized crystal structure of NbCo3H at the GGA-PBE level of DFT.

Computed properties:
Symmetry: P6_3/mmc (194)
Magnetic moment in μB/cell: 7.75

abc: 2.7449 2.7449 16.8887
angles: 90.00 90.00 120.00
Closest atoms and distances in Å follow each position.
Element x y z (fractional)
H 0.3333 0.6667 0.7500  3 Co 1.58
H 0.6667 0.3333 0.2500  3 Co 1.58
Nb 0.0000 0.0000 0.0000  6 Nb 2.74, 6 Co 2.75
Nb 0.0000 0.0000 0.5000  6 Nb 2.74, 6 Co 2.75
Co 0.0000 0.0000 0.2500  3 H 1.58
Co 0.0000 0.0000 0.7500  3 H 1.58
Co 0.3333 0.6667 0.8668  1 H 1.97
Co 0.3333 0.6667 0.6332  1 H 1.97
Co 0.6667 0.3333 0.3668  1 H 1.97
Co 0.6667 0.3333 0.1332  1 H 1.97



<S>
Computed, not measured: an optimized crystal structure of NbCo3H at the GGA-PBE level of DFT.

Computed properties:
Symmetry: Cmcm (63)
Magnetic moment in μB/cell: 1.99

abc: 4.2035 5.3543 5.3545
angles: 122.99 90.00 90.00
Closest atoms and distances in Å follow each position.
Element x y z (fractional)
H 0.2420 0.0447 0.5698  4 Co 1.83-1.84
H 0.7419 0.0443 0.5696  4 Co 1.83-1.84
Nb 0.9921 0.8549 0.7588  2 H 2.07
Nb 0.4921 0.2337 0.3801  2 H 2.07
Co 0.9921 0.8618 0.2345  2 H 1.84
Co 0.9920 0.3793 0.7519  2 H 1.83-1.84
Co 0.4921 0.2268 0.9045  2 H 1.83
Co 0.4920 0.7094 0.3870  2 H 1.83-1.84
Co 0.9921 0.3931 0.2206  6 Co 2.47-2.54, 4 Nb 2.58
Co 0.4921 0.6955 0.9183  6 Co 2.47-2.54, 4 Nb 2.58



Which of them is the least stable? Correct choice: <Q>.



<P>
Computed, not measured: an optimized crystal structure of NbCo3H at the GGA-PBE level of DFT.

Computed properties:
Symmetry: C2/m (12)
Magnetic moment in μB/cell: 2.00

abc: 5.3009 4.2177 5.3011
angles: 91.16 121.67 88.84
Closest atoms and distances in Å follow each position.
Element x y z (fractional)
H 0.0493 0.1934 0.1020  4 Co 1.83, 2 Nb 2.02
H 0.5497 0.6934 0.6023  6 Co 1.79-1.82
Nb 0.8701 0.9317 0.2819  1 H 2.02
Nb 0.2293 0.4550 0.9228  1 H 2.02
Co 0.7145 0.4407 0.9261  2 H 1.82-1.83
Co 0.2259 0.4407 0.4375  2 H 1.82-1.83
Co 0.3908 0.9453 0.7611  1 H 1.79
Co 0.3848 0.9460 0.2785  2 H 1.82-1.83
Co 0.7085 0.4414 0.4435  1 H 1.79
Co 0.8734 0.9459 0.7672  2 H 1.82-1.83



<Q>
Computed, not measured: an optimized crystal structure of NbCo3H at the GGA-PBE level of DFT.

Computed properties:
Symmetry: Cmcm (63)
Magnetic moment in μB/cell: 4.28

abc: 6.9101 6.9101 4.3336
angles: 90.00 90.00 139.85
Closest atoms and distances in Å follow each position.
Element x y z (fractional)
H 0.4482 0.5518 0.2500  2 Co 1.61
H 0.5518 0.4482 0.7500  2 Co 1.61
Nb 0.2005 0.7995 0.2500  6 Co 2.42-2.61
Nb 0.7995 0.2005 0.7500  6 Co 2.42-2.61
Co 0.6123 0.8854 0.2500  1 H 1.61
Co 0.1146 0.3877 0.2500  1 H 1.61
Co 0.8854 0.6123 0.7500  1 H 1.61
Co 0.3877 0.1146 0.7500  1 H 1.61
Co 0.0000 0.0000 0.0000  6 Co 2.17-2.39
Co 0.0000 0.0000 0.5000  6 Co 2.17-2.39



Which of them is the least stable? Correct choice: <Q>.



<P>
Computed, not measured: an optimized crystal structure of NbCo3H at the GGA-PBE level of DFT.

Computed properties:
Symmetry: C2/m (12)
Magnetic moment in μB/cell: 1.76

abc: 5.2572 5.2572 5.1564
angles: 119.33 60.67 87.86
Closest atoms and distances in Å follow each position.
Element x y z (fractional)
H 0.9670 0.5695 0.8751  4 Co 1.81
H 0.9664 0.5691 0.3752  6 Co 1.84-1.91
Nb 0.2353 0.8380 0.8752  1 H 2.03
Nb 0.6986 0.3011 0.8751  1 H 2.03
Co 0.7151 0.3178 0.3752  1 H 1.90
Co 0.7169 0.8196 0.3707  2 H 1.81-1.84
Co 0.7169 0.8196 0.8795  2 H 1.81-1.84
Co 0.2170 0.3195 0.3796  2 H 1.81-1.84
Co 0.2170 0.3196 0.8708  2 H 1.81-1.84
Co 0.2188 0.8213 0.3751  1 H 1.91



<Q>
Computed, not measured: an optimized crystal structure of NbCo3H at the GGA-PBE level of DFT.

Computed properties:
Symmetry: P2_1/c (14)
Magnetic moment in μB/cell: 5.32

abc: 16.2289 4.2095 6.9614
angles: 90.00 154.73 90.00
Closest atoms and distances in Å follow each position.
Element x y z (fractional)
H 0.1216 0.4781 0.6117  5 Co 1.74-1.87
H 0.8784 0.5219 0.3883  5 Co 1.74-1.87
H 0.3784 0.9781 0.8883  5 Co 1.74-1.87
H 0.6216 0.0219 0.1117  5 Co 1.74-1.87
Nb 0.3029 0.7601 0.1589  1 H 2.08
Nb 0.6971 0.2399 0.8411  1 H 2.08
Nb 0.1971 0.2601 0.3411  1 H 2.08
Nb 0.8029 0.7399 0.6589  1 H 2.08
Co 0.3327 0.2485 0.9946  2 H 1.81-1.84
Co 0.6673 0.7515 0.0054  2 H 1.81-1.84
Co 0.1673 0.7485 0.5054  2 H 1.81-1.84
Co 0.8327 0.2515 0.4946  2 H 1.81-1.84
Co 0.4663 0.2590 0.6489  1 H 1.74
Co 0.5337 0.7410 0.3511  1 H 1.74
Co 0.0337 0.7590 0.8511  1 H 1.74
Co 0.9663 0.2410 0.1489  1 H 1.74
Co 0.4207 0.7483 0.7594  2 H 1.82-1.87
Co 0.5793 0.2517 0.2406  2 H 1.82-1.87
Co 0.0793 0.2483 0.7406  2 H 1.82-1.87
Co 0.9207 0.7517 0.2594  2 H 1.82-1.87



<R>
Computed, not measured: an optimized crystal structure of NbCo3H at the GGA-PBE level of DFT.

Computed properties:
Symmetry: Fd-3m (227)
Magnetic moment in μB/cell: 3.97

abc: 6.7700 6.7700 6.7700
angles: 60.00 60.00 60.00
Closest atoms and distances in Å follow each position.
Element x y z (fractional)
H 0.1250 0.1250 0.1250  6 Co 1.79
H 0.1250 0.6250 0.1250  6 Co 1.79
H 0.6250 0.1250 0.1250  6 Co 1.79
H 0.1250 0.1250 0.6250  6 Co 1.79
Nb 0.6250 0.6250 0.6250  6 Co 2.47
Nb 0.6250 0.1250 0.6250  6 Co 2.47
Nb 0.1250 0.6250 0.6250  6 Co 2.47
Nb 0.6250 0.6250 0.1250  6 Co 2.47
Co 0.8131 0.1869 0.1869  2 H 1.79
Co 0.0631 0.4369 0.4369  2 H 1.79
Co 0.4369 0.4369 0.0631  2 H 1.79
Co 0.4369 0.0631 0.0631  2 H 1.79
Co 0.0631 0.4369 0.0631  2 H 1.79
Co 0.8131 0.1869 0.8131  2 H 1.79
Co 0.4369 0.0631 0.4369  2 H 1.79
Co 0.0631 0.0631 0.4369  2 H 1.79
Co 0.1869 0.8131 0.1869  2 H 1.79
Co 0.1869 0.8131 0.8131  2 H 1.79
Co 0.1869 0.1869 0.8131  2 H 1.79
Co 0.8131 0.8131 0.1869  2 H 1.79



Which of them is the least stable? Correct choice: <R>.